Entry P
## CsSm2CuTeSe3 (PBE)

Data for an optimized crystal structure of CsSm2CuTeSe3.

Properties
The mass density comes out at 5.92 g/cm³.

Lattice parameters (Å, degrees): 4.301 15.046 14.949 90.00 90.00 90.00
Space group Cmcm (No. 63)
Asymmetric unit:
Cs: 0.000 0.123 0.250 x4
Sm: 0.000 0.367 0.054 x8
Cu: 0.000 0.165 0.750 x4
Te: 0.000 0.433 0.250 x4
Se: 0.000 0.000 0.000 x4
Se: 0.000 0.254 0.607 x8



Entry Q
## CsSm2CuTeSe3 (PBE)

Data for an optimized crystal structure of CsSm2CuTeSe3.

Properties
The mass density comes out at 5.91 g/cm³.

Lattice parameters (Å, degrees): 4.318 15.200 14.751 90.00 90.00 90.00
Space group Cmcm (No. 63)
Asymmetric unit:
Cs: 0.000 0.102 0.250 x4
Sm: 0.000 0.357 0.066 x8
Cu: 0.000 0.166 0.750 x4
Te: 0.000 0.000 0.000 x4
Se: 0.000 0.262 0.611 x8
Se: 0.000 0.418 0.250 x4



Of them, entry Q has the highest stability.



Entry P
## CsCuTcSe3 (PBE)

Data for an optimized crystal structure of CsCuTcSe3.

Properties
The mass density comes out at 5.79 g/cm³.

Lattice parameters (Å, degrees): 3.792 16.165 9.940 90.00 90.00 90.00
Space group Cmcm (No. 63)
Asymmetric unit:
Cs: 0.000 0.250 0.250 x4
Cu: 0.000 0.034 0.750 x4
Tc: 0.000 0.500 0.000 x4
Se: 0.000 0.107 0.541 x8
Se: 0.000 0.441 0.750 x4



Entry Q
## CsCuTcSe3 (PBE)

Data for an optimized crystal structure of CsCuTcSe3.

Properties
The mass density comes out at 5.78 g/cm³.

Lattice parameters (Å, degrees): 8.621 3.847 10.060 90.00 113.83 90.00
Space group P2_1/m (No. 11)
Asymmetric unit:
Cs: 0.012 0.250 0.275 x2
Cu: 0.471 0.750 0.390 x2
Tc: 0.476 0.250 0.169 x2
Se: 0.271 0.750 0.145 x2
Se: 0.333 0.750 0.566 x2
Se: 0.364 0.250 0.887 x2



Of them, entry Q has the highest stability.



Entry P
## CsCuTcTe2Se (PBE)

Data for an optimized crystal structure of CsCuTcTe2Se.

Properties
The mass density comes out at 6.01 g/cm³.

Lattice parameters (Å, degrees): 3.951 17.217 10.216 90.00 90.00 90.00
Space group Cmcm (No. 63)
Asymmetric unit:
Cs: 0.000 0.245 0.250 x4
Cu: 0.000 0.028 0.750 x4
Tc: 0.000 0.500 0.000 x4
Te: 0.000 0.110 0.540 x8
Se: 0.000 0.446 0.750 x4



Entry Q
## CsCuTcTe2Se (PBE)

Data for an optimized crystal structure of CsCuTcTe2Se.

Properties
The mass density comes out at 5.99 g/cm³.

Lattice parameters (Å, degrees): 9.308 3.975 10.425 90.00 115.44 90.00
Space group P2_1/m (No. 11)
Asymmetric unit:
Cs: 0.008 0.250 0.234 x2
Cu: 0.477 0.250 0.901 x2
Tc: 0.468 0.750 0.649 x2
Te: 0.262 0.250 0.644 x2
Te: 0.328 0.250 0.066 x2
Se: 0.363 0.750 0.378 x2



Of them, entry Q has the highest stability.



Entry P
## CsSrCu (PBE)

Data for an optimized crystal structure of CsSrCu.

Properties
The mass density comes out at 3.78 g/cm³.

Lattice parameters (Å, degrees): 7.933 7.933 7.933 90.00 90.00 90.00
Space group F-43m (No. 216)
Asymmetric unit:
Cs: 0.000 0.000 0.000 x4
Sr: 0.250 0.250 0.250 x4
Cu: 0.250 0.250 0.750 x4



Entry Q
## CsSrCu (PBE)

Data for an optimized crystal structure of CsSrCu.

Properties
The mass density comes out at 3.59 g/cm³.

Lattice parameters (Å, degrees): 8.073 8.073 8.073 90.00 90.00 90.00
Space group F-43m (No. 216)
Asymmetric unit:
Cs: 0.000 0.000 0.000 x4
Sr: 0.000 0.000 0.500 x4
Cu: 0.250 0.250 0.250 x4



Of them, entry Q has the highest stability.



Entry P
## CsCuTcTe3 (PBE)

Data for an optimized crystal structure of CsCuTcTe3.

Properties
The mass density comes out at 6.15 g/cm³.

Lattice parameters (Å, degrees): 3.989 17.354 10.568 90.00 90.00 90.00
Space group Cmcm (No. 63)
Asymmetric unit:
Cs: 0.000 0.248 0.250 x4
Cu: 0.000 0.465 0.750 x4
Tc: 0.000 0.000 0.000 x4
Te: 0.000 0.060 0.750 x4
Te: 0.000 0.392 0.539 x8



Entry Q
## CsCuTcTe3 (PBE)

Data for an optimized crystal structure of CsCuTcTe3.

Properties
The mass density comes out at 5.93 g/cm³.

Lattice parameters (Å, degrees): 14.796 4.039 12.691 90.00 90.00 90.00
Space group Pnma (No. 62)
Asymmetric unit:
Cs: 0.161 0.250 0.016 x4
Cu: 0.215 0.750 0.257 x4
Tc: 0.034 0.750 0.632 x4
Te: 0.044 0.750 0.247 x4
Te: 0.107 0.250 0.508 x4
Te: 0.182 0.750 0.760 x4



Of them, entry P has the highest stability.